Entry 1:
Compound: BeMo2W
Source: the Alexandria database
Functional: PBE-GGA
Structure: relaxed

E: -9.50 eV per atom
energy of formation: 0.086 eV per atom

```
4
Lattice="-1.445 -1.635 -1.615 -0.325 -0.948 2.523 -6.437 4.746 0.953" Properties=species:S:1:pos:R:3 pbc="T T T"
W -3.402 2.509 0.504
Mo -6.253 4.610 0.926
Mo -2.491 -0.108 0.692
Be -5.717 2.270 1.170
```


Entry 2:
Compound: Li2Mg2ZnGa4
Source: the Alexandria database
Functional: PBE-GGA
Structure: relaxed

E: -2.37 eV per atom
energy of formation: -0.100 eV per atom

```
9
Lattice="6.094 -0.499 -0.849 -2.578 5.544 0.849 -2.578 -1.950 5.259" Properties=species:S:1:pos:R:3 pbc="T T T"
Ga 1.994 0.736 1.250
Ga -2.578 3.419 2.099
Ga -1.057 2.358 4.008
Ga -2.578 0.175 4.008
Li -3.719 2.591 4.404
Li -1.438 1.002 1.703
Mg 0.469 -0.327 3.732
Mg 0.469 3.421 1.527
Zn 0.000 0.000 0.000
```


Entry 3:
Compound: YScCr2Si
Source: the Alexandria database
Functional: PBE-GGA
Structure: relaxed

E_form (uncorrected): 859.7 kJ/mol of formula units
E: -5.71 eV per atom

```
5
Lattice="-4.485 0.477 1.655 -1.816 -0.090 -4.895 -0.419 -4.780 0.243" Properties=species:S:1:pos:R:3 pbc="T T T"
Sc -0.908 -0.045 -2.448
Y 0.000 0.000 0.000
Cr -0.209 -2.390 0.121
Cr -2.243 0.238 0.827
Si -3.360 -2.197 -1.499
```


Entry 4:
Compound: CeAlBi2
Source: the Alexandria database
Functional: PBE-GGA
Structure: relaxed

E: -4.73 eV per atom
energy of formation: -0.372 eV per atom
relative energy among the computed polymorphs: 0 meV per atom

```
4
Lattice="-3.121 3.100 -0.576 -3.237 -2.806 2.440 1.341 2.137 4.235" Properties=species:S:1:pos:R:3 pbc="T T T"
Al -1.561 1.550 -0.288
Ce -2.508 1.215 3.050
Bi 0.670 1.068 2.118
Bi -1.618 -1.403 1.220
```


Entry 5:
Compound: Rb2NbAuI6
Source: the Alexandria database
Functional: PBE-GGA
Structure: relaxed

E_form (uncorrected): -628.9 kJ/mol of formula units
E: -3.11 eV per atom

```
10
Lattice="-5.700 -4.271 4.874 -0.150 -6.402 -5.786 1.310 -7.890 2.259" Properties=species:S:1:pos:R:3 pbc="T T T"
Nb -2.925 -5.337 -0.456
Au 0.000 0.000 0.000
I -4.293 -7.832 -0.670
I -3.799 -11.910 0.402
I -1.557 -2.842 -0.243
I -4.222 -4.839 2.036
I -0.741 -6.653 0.944
I -1.628 -5.835 -2.948
Rb -3.658 -8.749 3.338
Rb -0.883 -9.814 -1.992
```


Entry 6:
Compound: Er6Ge2PS3
Source: the Alexandria database
Functional: PBE-GGA
Structure: relaxed

E_form (uncorrected): -1832.5 kJ/mol of formula units
E: -6.12 eV per atom

```
12
Lattice="3.990 0.000 0.000 0.000 7.953 0.307 -1.995 -2.272 8.368" Properties=species:S:1:pos:R:3 pbc="T T T"
Er 0.000 5.760 5.898
Er 1.995 3.873 2.961
Er 0.000 1.808 5.714
Er 0.000 1.935 0.101
Er 1.995 3.746 8.574
Er 1.995 -0.079 2.777
S 1.995 3.977 0.154
S 1.995 -0.202 5.653
S 0.000 5.883 3.022
P 1.995 0.000 0.000
Ge 0.000 1.886 2.891
Ge 1.995 3.795 5.785
```


Entry 7:
Compound: BeAg2Mo
Source: the Alexandria database
Functional: PBE-GGA
Structure: relaxed

E: -4.62 eV per atom
energy of formation: 0.443 eV per atom

```
4
Lattice="9.102 -0.009 -0.005 8.678 2.748 -0.005 8.678 1.337 2.401" Properties=species:S:1:pos:R:3 pbc="T T T"
Ag 26.206 4.037 2.368
Ag 13.481 2.077 1.218
Mo 19.843 3.057 1.793
Be 6.614 1.019 0.598
```


Entry 8:
Compound: CsCoMo3
Source: the Alexandria database
Functional: PBE-GGA
Structure: relaxed

E: -4.61 eV per atom
energy of formation: 3.482 eV per atom
relative energy among the computed polymorphs: 1629 meV per atom

```
5
Lattice="-3.125 -1.439 -3.437 1.964 -4.448 0.076 -3.166 -1.339 3.439" Properties=species:S:1:pos:R:3 pbc="T T T"
Mo -1.563 -0.719 -1.719
Mo -1.583 -0.670 1.720
Mo 0.982 -2.224 0.038
Cs 0.000 0.000 0.000
Co -2.164 -3.613 0.039
```


Q: Which of these has the lowest E?
A: BeMo2W